No. 1
DFT (PBE) results for a relaxed structure of K3ZrSc3S8.

Computed properties:
As for the space group: No. 166. As for the calculated density: 2.7 Mg/m³. Its raw formation energy is -1.738 eV/atom.

abc: 7.5662 7.5655 8.6419
angles: 115.96 90.00 120.00
Closest atoms and distances in Å follow each position.
Element x y z (fractional)
K1 0.0000 0.5000 0.0000  6 S 3.17-3.18
K2 0.0000 0.0000 0.0000  6 S 3.17-3.18
K3 0.5000 0.5000 0.0000  6 S 3.17-3.18
S1 0.7704 0.5409 0.3093  1 Zr 2.60, 2 Sc 2.61
S2 0.7704 0.0388 0.3093  1 Zr 2.60, 2 Sc 2.61
S3 0.2296 0.9612 0.6907  1 Zr 2.60, 2 Sc 2.61
S4 0.2683 0.0388 0.3093  1 Zr 2.60, 2 Sc 2.61
S5 0.2699 0.5397 0.3097  3 Sc 2.60
S6 0.7317 0.9612 0.6907  1 Zr 2.60, 2 Sc 2.61
S7 0.2296 0.4591 0.6907  1 Zr 2.60, 2 Sc 2.61
S8 0.7301 0.4603 0.6903  3 Sc 2.60
Sc1 0.5000 0.5000 0.5000  6 S 2.60-2.61
Sc2 0.5000 0.0000 0.5000  6 S 2.60-2.61
Sc3 0.0000 0.5000 0.5000  6 S 2.60-2.61
Zr1 0.0000 0.0000 0.5000  6 S 2.60

---

No. 2
DFT (PBE) results for a relaxed structure of La2YHPb.

Computed properties:
As for the space group: No. 123. As for the calculated density: 7.5 Mg/m³. The calculation puts the polymorph energy (0 for the lowest one) at 0 meV/atom.

abc: 4.9739 4.9739 5.1294
angles: 90.00 90.00 90.00
Closest atoms and distances in Å follow each position.
Element x y z (fractional)
La1 0.5000 0.0000 0.0000  2 H 2.49
La2 0.0000 0.5000 0.0000  2 H 2.49
Y1 0.0000 0.0000 0.5000  2 H 2.56
H1 0.0000 0.0000 0.0000  4 La 2.49, 2 Y 2.56
Pb1 0.5000 0.5000 0.5000  4 Y 3.52, 8 La 3.57